(1)
{"formula": "In3CoCu", "functional": "PBE", "state": "relaxed", "lattice_angstrom": [[4.904, 0.000, 0.000], [0.000, 4.904, 0.000], [0.000, 0.000, 4.904]], "species": ["Co", "Cu", "In", "In", "In"], "fractional_positions": [[0.000, 0.000, 0.000], [0.500, 0.500, 0.500], [0.000, 0.500, 0.000], [0.000, 0.000, 0.500], [0.500, 0.000, 0.000]], "ef_kj_per_mol_atoms": 31.0, "spacegroup": "Pm-3m (221)", "e_above_lowest_polymorph_mev_per_atom": 0}


(2)
{"formula": "In2CoCu", "functional": "PBE", "state": "relaxed", "lattice_angstrom": [[1.789, -4.117, -0.393], [-1.261, -3.283, 2.817], [-2.521, -3.417, -1.507]], "species": ["Co", "Cu", "In", "In"], "fractional_positions": [[0.000, 0.000, 0.000], [0.500, 0.500, 0.500], [0.250, 0.250, 0.250], [0.750, 0.750, 0.750]], "ef_kj_per_mol_atoms": 14.6, "spacegroup": "Fm-3m (225)", "e_above_lowest_polymorph_mev_per_atom": 19}


(3)
{"formula": "In2CoCu", "functional": "PBE", "state": "relaxed", "lattice_angstrom": [[-3.061, 3.521, -2.262], [-4.549, -1.706, -1.811], [2.645, -0.369, 4.444]], "species": ["Co", "Cu", "In", "In"], "fractional_positions": [[0.500, 0.500, 0.000], [0.750, 0.250, 0.500], [0.000, 0.000, 0.000], [0.250, 0.750, 0.500]], "ef_kj_per_mol_atoms": 17.9, "spacegroup": "I-4m2 (119)", "e_above_lowest_polymorph_mev_per_atom": 53}


(4)
{"formula": "In2CoCu", "functional": "PBE", "state": "relaxed", "lattice_angstrom": [[4.523, 0.000, 0.000], [0.000, 3.171, -0.083], [0.000, 0.118, 4.522]], "species": ["Co", "Cu", "In", "In"], "fractional_positions": [[0.000, 0.625, 0.375], [0.500, 0.625, 0.875], [0.000, 0.125, 0.875], [0.500, 0.125, 0.375]], "ef_kj_per_mol_atoms": 13.6, "spacegroup": "P4/mmm (123)", "e_above_lowest_polymorph_mev_per_atom": 8}


(5)
{"formula": "In2CoCu", "functional": "PBE", "state": "relaxed", "lattice_angstrom": [[3.151, 0.000, 0.000], [0.000, 3.181, -0.006], [0.000, 3.207, 6.512]], "species": ["Co", "Cu", "In", "In"], "fractional_positions": [[0.500, 0.250, 0.250], [0.500, 0.750, 0.750], [0.000, 0.989, 0.012], [0.000, 0.511, 0.488]], "ef_kj_per_mol_atoms": 12.8, "spacegroup": "P2/m (10)", "e_above_lowest_polymorph_mev_per_atom": 0}


(6)
{"formula": "In2CoCu", "functional": "PBE", "state": "relaxed", "lattice_angstrom": [[7.129, 0.000, 0.000], [0.000, 7.129, 0.000], [3.565, 3.565, 2.875]], "species": ["Co", "Co", "Cu", "Cu", "In", "In", "In", "In"], "fractional_positions": [[0.500, 0.500, 0.000], [0.250, 0.750, 0.500], [0.000, 0.000, 0.000], [0.750, 0.250, 0.500], [0.617, 0.125, 0.250], [0.133, 0.625, 0.250], [0.375, 0.383, 0.750], [0.875, 0.867, 0.750]], "ef_kj_per_mol_atoms": 45.4, "spacegroup": "I-42d (122)", "e_above_lowest_polymorph_mev_per_atom": 338}


(7)
{"formula": "In2CoCu", "functional": "PBE", "state": "relaxed", "lattice_angstrom": [[6.139, 0.025, -0.002], [3.903, 4.739, 0.002], [-4.615, -3.238, 2.431]], "species": ["Co", "Cu", "In", "In"], "fractional_positions": [[0.499, 0.499, 0.000], [0.313, 0.813, 0.500], [0.984, 0.984, 0.000], [0.704, 0.204, 0.500]], "ef_kj_per_mol_atoms": 12.9, "spacegroup": "Imm2 (44)", "e_above_lowest_polymorph_mev_per_atom": 1}


(8)
{"formula": "In2CoCu", "functional": "PBE", "state": "relaxed", "lattice_angstrom": [[-2.463, -1.823, 0.732], [1.483, -2.494, -1.228], [2.895, -1.381, 6.301]], "species": ["Co", "Cu", "In", "In"], "fractional_positions": [[0.000, 0.000, 0.533], [0.500, 0.500, 0.707], [0.000, 0.000, 0.942], [0.500, 0.500, 0.318]], "ef_kj_per_mol_atoms": 20.7, "spacegroup": "P4mm (99)", "e_above_lowest_polymorph_mev_per_atom": 81}


(9)
{"formula": "InCo2Cu2", "functional": "PBE", "state": "relaxed", "lattice_angstrom": [[3.539, 0.000, 0.000], [0.000, 3.539, 0.000], [1.769, 1.769, 5.719]], "species": ["Co", "Co", "Cu", "Cu", "In"], "fractional_positions": [[0.401, 0.401, 0.198], [0.599, 0.599, 0.802], [0.750, 0.250, 0.500], [0.250, 0.750, 0.500], [0.000, 0.000, 0.000]], "ef_kj_per_mol_atoms": 34.3, "spacegroup": "I4/mmm (139)", "e_above_lowest_polymorph_mev_per_atom": 57}


(10)
{"formula": "InCo2Cu2", "functional": "PBE", "state": "relaxed", "lattice_angstrom": [[-3.631, -2.513, -5.028], [5.417, -3.163, -2.330], [-0.697, -2.477, 1.742]], "species": ["Co", "Co", "Co", "Co", "Cu", "Cu", "Cu", "Cu", "In", "In"], "fractional_positions": [[0.380, 0.880, 0.000], [0.880, 0.620, 0.000], [0.620, 0.120, 0.000], [0.120, 0.380, 0.000], [0.171, 0.671, 0.500], [0.671, 0.829, 0.500], [0.829, 0.329, 0.500], [0.329, 0.171, 0.500], [0.000, 0.000, 0.000], [0.500, 0.500, 0.000]], "ef_kj_per_mol_atoms": 28.9, "spacegroup": "P4/mbm (127)", "e_above_lowest_polymorph_mev_per_atom": 0}


(11)
{"formula": "InCoCu2Ir", "functional": "PBE", "state": "relaxed", "lattice_angstrom": [[4.580, 0.000, 0.000], [0.000, 4.620, 0.000], [0.000, 0.000, 4.580]], "species": ["Ir", "Co", "Cu", "Cu", "In"], "fractional_positions": [[0.500, 0.500, 0.500], [0.000, 0.500, 0.000], [0.000, 0.000, 0.500], [0.500, 0.000, 0.000], [0.000, 0.000, 0.000]], "ef_kj_per_mol_atoms": 163.1, "spacegroup": "P4/mmm (123)"}


(12)
{"formula": "KIn2CoCu", "functional": "PBE", "state": "relaxed", "lattice_angstrom": [[-2.222, -3.734, -2.396], [4.066, -2.742, 0.502], [-1.712, -1.750, 4.315]], "species": ["K", "Co", "Cu", "In", "In"], "fractional_positions": [[0.500, 0.500, 0.500], [0.000, 0.000, 0.000], [0.000, 0.500, 0.000], [0.000, 0.000, 0.500], [0.500, 0.000, 0.000]], "ef_kj_per_mol_atoms": 18.1, "spacegroup": "P4/mmm (123)"}


(13)
{"formula": "La2InCoCu", "functional": "PBE", "state": "relaxed", "lattice_angstrom": [[5.208, 0.000, 0.000], [0.000, 5.208, 0.000], [0.000, 0.000, 4.734]], "species": ["In", "Co", "Cu", "La", "La"], "fractional_positions": [[0.500, 0.500, 0.500], [0.000, 0.000, 0.000], [0.000, 0.000, 0.500], [0.000, 0.500, 0.000], [0.500, 0.000, 0.000]], "ef_kj_per_mol_atoms": -10.0, "spacegroup": "P4/mmm (123)", "e_above_lowest_polymorph_mev_per_atom": 0}


(14)
{"formula": "La2InCoCu", "functional": "PBE", "state": "relaxed", "lattice_angstrom": [[5.229, 0.000, 0.000], [0.000, 5.229, 0.000], [0.000, 0.000, 4.924]], "species": ["In", "Co", "Cu", "La", "La"], "fractional_positions": [[0.000, 0.000, 0.500], [0.000, 0.000, 0.000], [0.500, 0.500, 0.500], [0.000, 0.500, 0.000], [0.500, 0.000, 0.000]], "ef_kj_per_mol_atoms": -9.5, "spacegroup": "P4/mmm (123)", "e_above_lowest_polymorph_mev_per_atom": 4}


(15)
{"formula": "La6In2CoCu", "functional": "PBE", "state": "relaxed", "lattice_angstrom": [[-7.361, -0.185, -1.498], [-1.033, -1.045, 7.969], [4.192, 5.866, -2.460]], "species": ["La", "La", "La", "La", "La", "La", "In", "In", "Co", "Cu"], "fractional_positions": [[0.785, 0.846, 0.107], [0.730, 0.681, 0.526], [0.214, 0.155, 0.893], [0.740, 0.240, 0.938], [0.269, 0.320, 0.474], [0.260, 0.761, 0.061], [0.758, 0.259, 0.498], [0.241, 0.742, 0.502], [0.000, 0.000, 0.000], [0.500, 0.500, 0.000]], "ef_kj_per_mol_atoms": -18.8, "spacegroup": "P-1 (2)"}


(16)
{"formula": "MnInCoCu", "functional": "PBE", "state": "relaxed", "lattice_angstrom": [[4.331, 0.000, 0.000], [2.165, 3.750, 0.000], [2.165, 1.250, 3.536]], "species": ["Mn", "Co", "Cu", "In"], "fractional_positions": [[0.500, 0.500, 0.500], [0.750, 0.750, 0.750], [0.250, 0.250, 0.250], [0.000, 0.000, 0.000]], "ef_kj_per_mol_atoms": 10.6, "spacegroup": "F-43m (216)"}


(17)
{"formula": "In2CoCuN", "functional": "PBE", "state": "relaxed", "lattice_angstrom": [[-0.296, 2.819, -4.206], [-4.016, 1.661, 1.395], [2.392, 3.791, 2.373]], "species": ["N", "Co", "Cu", "In", "In"], "fractional_positions": [[0.500, 0.500, 0.500], [0.000, 0.500, 0.000], [0.000, 0.000, 0.000], [0.000, 0.000, 0.500], [0.500, 0.000, 0.000]], "spacegroup": "P4/mmm (123)", "raw_formation_energy_ev_per_atom": 1.48}


(18)
{"formula": "In2CoCuOs", "functional": "PBE", "state": "relaxed", "lattice_angstrom": [[5.101, 0.000, 0.000], [0.000, 4.718, 0.000], [0.000, 0.000, 5.101]], "species": ["Co", "Os", "Cu", "In", "In"], "fractional_positions": [[0.500, 0.500, 0.500], [0.000, 0.000, 0.000], [0.000, 0.500, 0.000], [0.000, 0.000, 0.500], [0.500, 0.000, 0.000]], "ef_kj_per_mol_atoms": 119.7, "spacegroup": "P4/mmm (123)"}


(19)
{"formula": "PaInCoCu", "functional": "PBE", "state": "relaxed", "lattice_angstrom": [[4.662, 0.000, 0.000], [2.331, 4.038, 0.000], [2.331, 1.346, 3.807]], "species": ["Pa", "Co", "Cu", "In"], "fractional_positions": [[0.000, 0.000, 0.000], [0.750, 0.750, 0.750], [0.250, 0.250, 0.250], [0.500, 0.500, 0.500]], "ef_kj_per_mol_atoms": -7.7, "spacegroup": "F-43m (216)"}


(20)
{"formula": "PmInCoCu", "functional": "PBE", "state": "relaxed", "lattice_angstrom": [[4.736, 0.000, 0.000], [2.368, 4.102, 0.000], [2.368, 1.367, 3.867]], "species": ["In", "Co", "Cu", "Pm"], "fractional_positions": [[0.500, 0.500, 0.500], [0.750, 0.750, 0.750], [0.250, 0.250, 0.250], [0.000, 0.000, 0.000]], "ef_kj_per_mol_atoms": -8.2, "spacegroup": "F-43m (216)"}